Record 1
{
  "formula": "Sc2NiTe",
  "functional": "PBE",
  "state": "relaxed",
  "formation_energy_uncorrected_mev_per_atom": -481,
  "lattice": [[5.0880, -0.0189, -0.0664], [1.3892, 4.8947, 0.0664], [-3.1990, -2.4905, 3.0751]],
  "species": ["Ni", "Sc", "Sc", "Te"],
  "frac_coords": [[0.2500, 0.7500, 0.5000], [0.9999, 0.9999, 0.0000], [0.5001, 0.5001, 0.0000], [0.7500, 0.2500, 0.5000]]
}



Record 2
{
  "formula": "ScNi2Te2",
  "functional": "PBE",
  "state": "relaxed",
  "polymorph_energy_mev_per_atom": 0,
  "formation_energy_uncorrected_mev_per_atom": -367,
  "lattice": [[3.7474, 0.0000, 0.0000], [0.0000, 3.7474, 0.0000], [1.8737, 1.8737, 6.8443]],
  "species": ["Sc", "Ni", "Ni", "Te", "Te"],
  "frac_coords": [[0.0000, 0.0000, 0.0000], [0.7500, 0.2500, 0.5000], [0.2500, 0.7500, 0.5000], [0.3782, 0.3782, 0.2436], [0.6218, 0.6218, 0.7564]]
}



Record 3
{
  "formula": "Sc2VNiTe",
  "functional": "PBE",
  "state": "relaxed",
  "formation_energy_uncorrected_mev_per_atom": 837,
  "lattice": [[-4.5405, 0.2151, 2.6649], [-2.2063, -2.4173, -3.5640], [1.1729, -4.5595, 2.3664]],
  "species": ["Sc", "Sc", "Ni", "Te", "V"],
  "frac_coords": [[0.0000, 0.0000, 0.5000], [0.5000, 0.0000, 0.0000], [0.5000, 0.5000, 0.5000], [0.0000, 0.0000, 0.0000], [0.0000, 0.5000, 0.0000]]
}



Record 4
{
  "formula": "ScZnNi2Te",
  "functional": "PBE",
  "state": "relaxed",
  "formation_energy_uncorrected_mev_per_atom": 516,
  "lattice": [[-3.0342, 1.8208, -2.9103], [-3.8248, -2.3756, 2.5013], [-0.4581, 3.6346, 2.7515]],
  "species": ["Sc", "Ni", "Ni", "Zn", "Te"],
  "frac_coords": [[0.5000, 0.5000, 0.5000], [0.0000, 0.0000, 0.5000], [0.5000, 0.0000, 0.0000], [0.0000, 0.5000, 0.0000], [0.0000, 0.0000, 0.0000]]
}



Record 5
{
  "formula": "ThScNi",
  "functional": "PBE",
  "state": "relaxed",
  "ef_mev_per_atom": -218.0,
  "polymorph_energy_mev_per_atom": 56,
  "lattice": [[6.6876, 0.0000, 0.0000], [0.0000, 5.7313, 3.0531], [0.0000, 0.3506, 7.4055]],
  "species": ["Th", "Th", "Th", "Th", "Sc", "Sc", "Sc", "Sc", "Ni", "Ni", "Ni", "Ni"],
  "frac_coords": [[0.1658, 0.7439, 0.9374], [0.3342, 0.7439, 0.4374], [0.8342, 0.2561, 0.0626], [0.6658, 0.2561, 0.5626], [0.6545, 0.7683, 0.0557], [0.3455, 0.2317, 0.9443], [0.1545, 0.2317, 0.4443], [0.8455, 0.7683, 0.5557], [0.5397, 0.6427, 0.7958], [0.4603, 0.3573, 0.2042], [0.9603, 0.6427, 0.2958], [0.0397, 0.3573, 0.7042]]
}



Record 6
{
  "formula": "ThSc3Ni",
  "functional": "PBE",
  "state": "relaxed",
  "ef_mev_per_atom": -65.9,
  "polymorph_energy_mev_per_atom": 53,
  "lattice": [[4.9601, 0.0000, 0.0000], [0.0000, 4.9601, 0.0000], [0.0000, 0.0000, 4.9601]],
  "species": ["Sc", "Sc", "Sc", "Ni", "Th"],
  "frac_coords": [[0.0000, 0.5000, 0.0000], [0.0000, 0.0000, 0.5000], [0.5000, 0.0000, 0.0000], [0.0000, 0.0000, 0.0000], [0.5000, 0.5000, 0.5000]]
}



Record 7
{
  "formula": "Th2ScNi9",
  "functional": "PBE",
  "state": "relaxed",
  "ef_mev_per_atom": -381.9,
  "lattice": [[-1.2376, 4.6877, 0.9513], [-4.7534, 1.2430, 0.5216], [-1.5005, 0.4525, 8.6483]],
  "species": ["Th", "Th", "Sc", "Ni", "Ni", "Ni", "Ni", "Ni", "Ni", "Ni", "Ni", "Ni"],
  "frac_coords": [[0.8656, 0.8656, 0.4031], [0.1344, 0.1344, 0.5969], [0.0000, 0.0000, 0.0000], [0.6669, 0.6669, 0.9994], [0.3331, 0.3331, 0.0006], [0.5000, 0.5000, 0.5000], [0.4194, 0.4194, 0.2407], [0.9206, 0.4194, 0.2407], [0.4194, 0.9206, 0.2407], [0.5806, 0.5806, 0.7593], [0.5806, 0.0794, 0.7593], [0.0794, 0.5806, 0.7593]]
}



Record 8
{
  "formula": "ThSc3Ni2",
  "functional": "PBE",
  "state": "relaxed",
  "ef_mev_per_atom": -309.5,
  "lattice": [[-1.3790, 1.8204, -2.7208], [-7.1652, -0.9002, 3.0293], [0.9842, 7.6006, 4.5865]],
  "species": ["Th", "Th", "Sc", "Sc", "Sc", "Sc", "Sc", "Sc", "Ni", "Ni", "Ni", "Ni"],
  "frac_coords": [[0.5000, 0.5095, 0.5697], [0.5000, 0.0095, 0.4303], [0.0000, 0.4876, 0.9209], [0.0000, 0.9876, 0.0791], [0.5000, 0.6544, 0.1879], [0.5000, 0.1544, 0.8121], [0.0000, 0.3339, 0.2805], [0.0000, 0.8339, 0.7195], [0.5000, 0.7902, 0.9201], [0.5000, 0.2902, 0.0799], [0.0000, 0.2244, 0.6053], [0.0000, 0.7244, 0.3947]]
}